Entry from Alexandria: an optimized crystal structure of RbBaMnF6 (PBE+U).

Cell lengths 5.214, 6.152, 6.152 Å; angles 120.00, 90.00, 90.00 degrees
Each line ends with the local moment (μB).
Fractional coordinates of all 9 atoms:
Rb  0.500  0.667  0.333  0.00
Ba  0.000  0.333  0.667  0.00
Mn  0.500  0.000  0.000  1.93
F  0.716  0.731  0.756  0.00
F  0.716  0.244  0.975  0.00
F  0.716  0.025  0.269  0.00
F  0.284  0.244  0.269  0.00
F  0.284  0.731  0.975  0.00
F  0.284  0.025  0.756  0.00

Computed properties:
**Calculated total energy**: -5.14 eV/atom
**Magnetic moment**: 2.0 μB/cell
**Space group**: P312, No. 149
**Density**: 3.81 g cm⁻³